No. 1
Material: Pm3DySn3
Method: DFT, PBE
State: relaxed

Results
**Space group**: R-3, No. 148
**Energy of formation**: -0.57 eV per atom
**Total energy**: -69.69 eV per cell

a = 9.2857 Å, b = 9.2857 Å, c = 8.2275 Å
α = 55.65°, β = 55.65°, γ = 60.00°
Element x y z (fractional)
Sn 0.0704 0.6906 0.7778
Sn 0.5388 0.9296 0.2222
Sn 0.6906 0.4612 0.7778
Sn 0.3094 0.5388 0.2222
Sn 0.9296 0.3094 0.2222
Sn 0.4612 0.0704 0.7778
Pm 0.9009 0.6472 0.2749
Pm 0.0991 0.3528 0.7251
Pm 0.1770 0.9009 0.2749
Pm 0.6472 0.1770 0.2749
Pm 0.8230 0.0991 0.7251
Pm 0.3528 0.8230 0.7251
Dy 0.6673 0.6673 0.9982
Dy 0.3327 0.3327 0.0018

---

No. 2
Material: Pm5DySn6
Method: DFT, PBE
State: relaxed

Results
**Space group**: C2/m, No. 12
**Energy of formation**: -0.64 eV per atom
**Total energy**: -60.10 eV per cell

a = 9.3504 Å, b = 5.8400 Å, c = 7.7789 Å
α = 67.95°, β = 80.59°, γ = 64.17°
Element x y z (fractional)
Pm 0.0000 0.6638 0.6725
Pm 0.5000 0.1697 0.6606
Pm 0.5000 0.5000 0.0000
Pm 0.0000 0.3362 0.3275
Pm 0.5000 0.8303 0.3394
Sn 0.2458 0.9232 0.6705
Sn 0.7542 0.0768 0.3295
Sn 0.2530 0.2291 0.0000
Sn 0.7470 0.7709 0.0000
Sn 0.7542 0.4062 0.6705
Sn 0.2458 0.5938 0.3295
Dy 0.0000 0.0000 0.0000

---

No. 3
Material: Pm3DySn2
Method: DFT, PBE
State: relaxed

Results
**Space group**: C2/m, No. 12
**Energy of formation**: -0.51 eV per atom
**Relative energy among the computed polymorphs**: 0.074 eV/atom
**Total energy**: -59.81 eV per cell

a = 4.6005 Å, b = 10.3762 Å, c = 9.8330 Å
α = 124.64°, β = 90.00°, γ = 102.81°
Element x y z (fractional)
Pm 0.6504 0.3008 0.8200
Pm 0.0519 0.1038 0.4152
Pm 0.3496 0.6992 0.1800
Pm 0.3091 0.6182 0.5087
Pm 0.6909 0.3818 0.4913
Pm 0.9481 0.8962 0.5848
Dy 0.8861 0.7722 0.8926
Dy 0.1139 0.2278 0.1074
Sn 0.2476 0.4952 0.7724
Sn 0.7524 0.5048 0.2276
Sn 0.5036 0.0072 0.1528
Sn 0.4964 0.9928 0.8472

---

No. 4
Material: Pm2DySn9
Method: DFT, PBE
State: relaxed

Results
**Space group**: P4/mmm, No. 123
**Energy of formation**: -0.47 eV per atom
**Total energy**: -55.72 eV per cell

a = 4.7149 Å, b = 4.7149 Å, c = 14.4185 Å
α = 90.00°, β = 90.00°, γ = 90.00°
Element x y z (fractional)
Sn 0.0000 0.5000 0.8363
Sn 0.5000 0.0000 0.8363
Sn 0.5000 0.0000 0.5000
Sn 0.0000 0.5000 0.1637
Sn 0.5000 0.5000 0.6685
Sn 0.5000 0.0000 0.1637
Sn 0.0000 0.5000 0.5000
Sn 0.5000 0.5000 0.3315
Sn 0.5000 0.5000 0.0000
Dy 0.0000 0.0000 0.0000
Pm 0.0000 0.0000 0.3325
Pm 0.0000 0.0000 0.6675